Entry 1:
NaCa2Tl2 (PBE-GGA, optimized geometry); ΔE to the lowest computed polymorph = 0.074 eV per atom; DOS at the Fermi energy = 0.4896 states/eV per atom; total magnetic moment = 0.00 μB per formula unit
1.0
9.236 0.000 0.000
0.000 9.236 0.000
0.000 0.000 3.758
Na Ca Tl
2 4 4
direct
0.000 0.000 0.000
0.500 0.500 0.000
0.142 0.358 0.000
0.358 0.858 0.000
0.642 0.142 0.000
0.858 0.642 0.000
0.156 0.656 0.500
0.344 0.156 0.500
0.656 0.844 0.500
0.844 0.344 0.500

Entry 2:
Ce3Cu2Ge7 (PBE-GGA, optimized geometry); raw total energy = -5.35 eV per atom; DOS at the Fermi energy = 1.3135 states/eV per atom; total magnetic moment = 1.95 μB per formula unit
1.0
4.305 0.000 0.000
0.000 4.329 0.000
-2.127 0.000 12.805
Ce Cu Ge
3 2 7
direct
0.000 0.000 0.000
0.315 0.500 0.634
0.685 0.500 0.366
0.125 0.000 0.262
0.875 0.000 0.738
0.103 0.500 0.173
0.224 0.000 0.448
0.416 0.000 0.829
0.500 0.500 0.000
0.584 0.000 0.171
0.776 0.000 0.552
0.897 0.500 0.827

Entry 3:
Mg2Ti (PBE-GGA, optimized geometry); raw total energy = -3.55 eV per atom; DOS at the Fermi energy = 1.2446 states/eV per atom; total magnetic moment = 0.09 μB per formula unit
1.0
5.088 0.000 0.000
0.000 1.490 8.125
0.000 -1.490 8.125
Mg Ti
4 2
direct
0.000 0.000 0.000
0.000 0.324 0.324
0.000 0.661 0.661
0.500 0.890 0.890
0.500 0.209 0.209
0.500 0.567 0.567

Entry 4:
CrAgP2 (PBE-GGA, optimized geometry); ΔE to the lowest computed polymorph = 0.357 eV per atom; DOS at the Fermi energy = 0.5722 states/eV per atom; total magnetic moment = 3.07 μB per formula unit
1.0
4.297 0.000 0.000
0.000 4.297 0.000
0.000 0.000 3.311
Cr Ag P
1 1 2
direct
0.000 0.000 0.000
0.500 0.500 0.000
0.000 0.500 0.500
0.500 0.000 0.500

Entry 5:
LaSm2Zn (PBE-GGA, optimized geometry); ΔE to the lowest computed polymorph = 0.000 eV per atom; DOS at the Fermi energy = 1.2753 states/eV per atom; total magnetic moment = 0.00 μB per formula unit
1.0
3.672 0.000 0.000
0.000 3.672 0.000
0.000 0.000 8.819
La Sm Zn
1 2 1
direct
0.000 0.000 0.000
0.500 0.500 0.298
0.500 0.500 0.702
0.000 0.000 0.500

Entry 6:
RbLaScAs2 (PBE-GGA, optimized geometry); raw total energy = -3.14 eV per atom; DOS at the Fermi energy = 1.3018 states/eV per atom; total magnetic moment = 1.79 μB per formula unit
1.0
5.645 0.000 0.000
0.000 5.645 0.000
0.000 0.000 5.431
Rb La Sc As
1 1 1 2
direct
0.000 0.000 0.000
0.000 0.000 0.500
0.500 0.500 0.500
0.000 0.500 0.000
0.500 0.000 0.000

Entry 7:
SrW2Cl (PBE-GGA, optimized geometry); ΔE to the lowest computed polymorph = 0.927 eV per atom; DOS at the Fermi energy = 0.9305 states/eV per atom; total magnetic moment = 0.00 μB per formula unit; uncorrected formation energy = 1.044 eV per atom
1.0
2.899 0.000 0.000
0.000 5.285 0.000
0.000 0.000 6.019
Sr W Cl
1 2 1
direct
0.000 0.000 0.000
0.500 0.227 0.500
0.500 0.773 0.500
0.000 0.500 0.000

Entry 8:
Mg2ScPbO6 (PBE-GGA, optimized geometry); DOS at the Fermi energy = 0.7691 states/eV per atom; total magnetic moment = 1.09 μB per formula unit; uncorrected formation energy = -2.094 eV per atom
1.0
2.691 1.554 4.815
-2.691 1.554 4.815
0.000 -3.107 4.815
Mg Sc Pb O
2 1 1 6
direct
0.000 0.000 0.000
0.498 0.498 0.498
0.789 0.789 0.789
0.289 0.289 0.289
0.094 0.706 0.391
0.197 0.608 0.879
0.391 0.094 0.706
0.608 0.879 0.197
0.706 0.391 0.094
0.879 0.197 0.608

Entry 9:
Ga2FeBr (PBE-GGA, optimized geometry); ΔE to the lowest computed polymorph = 0.000 eV per atom; DOS at the Fermi energy = 0.8392 states/eV per atom; total magnetic moment = 1.94 μB per formula unit; uncorrected formation energy = 0.382 eV per atom
1.0
-2.946 2.946 6.295
2.946 -2.946 6.295
2.946 2.946 -6.295
Ga Fe Br
4 2 2
direct
0.045 0.625 0.920
0.375 0.295 0.420
0.705 0.125 0.080
0.875 0.955 0.580
0.000 0.000 0.000
0.750 0.250 0.500
0.250 0.750 0.500
0.500 0.500 0.000

Entry 10:
BaAlS2N (PBE-GGA, optimized geometry); ΔE to the lowest computed polymorph = 0.000 eV per atom; DOS at the Fermi energy = 0.4543 states/eV per atom; total magnetic moment = 1.96 μB per formula unit; uncorrected formation energy = -0.738 eV per atom
1.0
5.005 0.000 0.000
0.000 5.005 0.000
0.000 0.000 3.942
Ba Al S N
1 1 2 1
direct
0.000 0.000 0.000
0.500 0.500 0.500
0.000 0.500 0.500
0.500 0.000 0.500
0.500 0.500 0.000

Entry 11:
NdCd9Pt2 (PBE-GGA, optimized geometry); raw total energy = -2.34 eV per atom; DOS at the Fermi energy = 0.6368 states/eV per atom; total magnetic moment = 0.00 μB per formula unit
1.0
-5.867 5.867 3.775
5.867 -5.867 3.775
5.867 5.867 -3.775
Nd Cd Pt
2 18 4
direct
0.375 0.625 0.750
0.625 0.375 0.250
0.125 0.875 0.250
0.127 0.557 0.328
0.127 0.799 0.570
0.201 0.271 0.328
0.201 0.873 0.930
0.271 0.201 0.828
0.271 0.443 0.070
0.443 0.271 0.570
0.443 0.873 0.172
0.557 0.127 0.828
0.557 0.729 0.430
0.729 0.557 0.930
0.729 0.799 0.172
0.799 0.127 0.070
0.799 0.729 0.672
0.873 0.201 0.430
0.873 0.443 0.672
0.875 0.125 0.750
0.000 0.000 0.000
0.000 0.000 0.500
0.000 0.500 0.000
0.500 0.000 0.500

Entry 12:
Sr3In3Hg2 (PBE-GGA, optimized geometry); raw total energy = -2.19 eV per atom; DOS at the Fermi energy = 0.6660 states/eV per atom; total magnetic moment = 0.00 μB per formula unit
1.0
2.487 -6.012 0.000
2.487 6.012 0.000
0.000 0.000 16.725
Sr In Hg
6 6 4
direct
0.090 0.910 0.608
0.090 0.910 0.892
0.362 0.638 0.750
0.638 0.362 0.250
0.910 0.090 0.108
0.910 0.090 0.392
0.352 0.648 0.250
0.384 0.616 0.537
0.384 0.616 0.963
0.616 0.384 0.037
0.616 0.384 0.463
0.648 0.352 0.750
0.204 0.796 0.105
0.204 0.796 0.395
0.796 0.204 0.605
0.796 0.204 0.895